1.
The following is a DFT calculation (meta-GGA SCAN) of ZrHg3C at its PBEsol-relaxed geometry.

Values from the calculation:
The crystal system is cubic. As for the formation energy: 1116 meV per atom.

Cell: 4.585 4.585 4.585 Å, 90.00 90.00 90.00°
Space group Pm-3m (No. 221)
One atom of each set of equivalent atoms:
Zr1 0.000 0.000 0.000
Hg1 0.000 0.500 0.500
C1 0.500 0.500 0.500

=====

2.
The following is a DFT calculation (meta-GGA SCAN) of AgGePO2 at its PBEsol-relaxed geometry.

Values from the calculation:
The crystal system is tetragonal. The calculation puts the formation energy without anion corrections at -0.269 eV/atom.

Cell: 3.600 3.600 5.360 Å, 90.00 90.00 90.00°
Space group P4/mmm (No. 123)
One atom of each set of equivalent atoms:
Ag1 0.000 0.000 0.000
Ge1 0.500 0.500 0.500
P1 0.500 0.500 0.000
O1 0.000 0.500 0.500

=====

3.
The following is a DFT calculation (meta-GGA SCAN) of LaZnCd at its PBEsol-relaxed geometry.

Values from the calculation:
The crystal system is cubic. As for the formation energy: -311 meV per atom.

Cell: 6.775 6.775 6.775 Å, 90.00 90.00 90.00°
Space group F-43m (No. 216)
One atom of each set of equivalent atoms:
La1 0.000 0.000 0.000
Zn1 0.250 0.250 0.250
Cd1 0.000 0.000 0.500

=====

no.,M_tot (Bohr magnetons per cell),DFT total energy (eV per cell)
1,0.00,-239.7
2,0.01,-74.7
3,0.00,-351.9